Record 1
# AlHg2F GGA-PBE optimized geometry
# Energy relative to the elements, uncorrected (eV/atom): -0.46
# Energy (eV/atom): -2.013
# ΔE to the lowest computed polymorph (meV/atom): 0.0
data_AlHg2F
_cell_length_a 7.510
_cell_length_b 7.510
_cell_length_c 5.905
_cell_angle_alpha 90.00
_cell_angle_beta 90.00
_cell_angle_gamma 90.00
_space_group_name_H-M_alt 'I -4 2 d'
_space_group_IT_number 122
_space_group_name_Hall 'I -4 2bw'
loop_
_atom_site_label
_atom_site_type_symbol
_atom_site_fract_x
_atom_site_fract_y
_atom_site_fract_z
Al1 Al 0.000 0.000 0.000
Hg1 Hg 0.243 0.250 0.625
F1 F 0.000 0.000 0.500

***

Record 2
# HfMo2Rh2 GGA-PBE optimized geometry
# Energy (eV/atom): -9.347
# Calculated formation energy (eV/atom): -0.08
data_HfMo2Rh2
_cell_length_a 7.706
_cell_length_b 7.706
_cell_length_c 2.789
_cell_angle_alpha 90.00
_cell_angle_beta 90.00
_cell_angle_gamma 90.00
_space_group_name_H-M_alt 'P 4/m b m'
_space_group_IT_number 127
_space_group_name_Hall '-P 4 2ab'
loop_
_atom_site_label
_atom_site_type_symbol
_atom_site_fract_x
_atom_site_fract_y
_atom_site_fract_z
Hf1 Hf 0.000 0.000 0.000
Mo1 Mo 0.119 0.381 0.000
Rh1 Rh 0.175 0.675 0.500

***

Record 3
# Ba2NaC2 GGA-PBE optimized geometry
# Energy (eV/atom): -3.400
# Calculated formation energy (eV/atom): 1.32
# ΔE to the lowest computed polymorph (meV/atom): 29.2
data_Ba2NaC2
_cell_length_a 5.273
_cell_length_b 5.273
_cell_length_c 11.525
_cell_angle_alpha 90.00
_cell_angle_beta 90.00
_cell_angle_gamma 90.00
_space_group_name_H-M_alt 'I 4/m m m'
_space_group_IT_number 139
_space_group_name_Hall '-I 4 2'
loop_
_atom_site_label
_atom_site_type_symbol
_atom_site_fract_x
_atom_site_fract_y
_atom_site_fract_z
Ba1 Ba 0.000 0.000 0.173
Na1 Na 0.000 0.000 0.500
C1 C 0.000 0.500 0.250

***

Record 4
# Li3Mo GGA-PBE optimized geometry
# Energy (eV/atom): -3.388
# Calculated formation energy (eV/atom): 0.76
# ΔE to the lowest computed polymorph (meV/atom): 523.2
data_Li3Mo
_cell_length_a 4.008
_cell_length_b 4.008
_cell_length_c 4.008
_cell_angle_alpha 90.00
_cell_angle_beta 90.00
_cell_angle_gamma 90.00
_space_group_name_H-M_alt 'P m -3 m'
_space_group_IT_number 221
_space_group_name_Hall '-P 4 2 3'
loop_
_atom_site_label
_atom_site_type_symbol
_atom_site_fract_x
_atom_site_fract_y
_atom_site_fract_z
Li1 Li 0.000 0.000 0.500
Mo1 Mo 0.500 0.500 0.500

***

Record 5
# FeTe2PtN GGA-PBE optimized geometry
# Energy relative to the elements, uncorrected (eV/atom): 0.25
# Energy (eV/atom): -5.576
# ΔE to the lowest computed polymorph (meV/atom): 0.0
data_FeTe2PtN
_cell_length_a 5.165
_cell_length_b 5.165
_cell_length_c 3.357
_cell_angle_alpha 90.00
_cell_angle_beta 90.00
_cell_angle_gamma 90.00
_space_group_name_H-M_alt 'P 4/m m m'
_space_group_IT_number 123
_space_group_name_Hall '-P 4 2'
loop_
_atom_site_label
_atom_site_type_symbol
_atom_site_fract_x
_atom_site_fract_y
_atom_site_fract_z
Fe1 Fe 0.000 0.000 0.000
Te1 Te 0.000 0.500 0.000
Pt1 Pt 0.500 0.500 0.500
N1 N 0.000 0.000 0.500

***

Record 6
# TbCeGePd GGA-PBE optimized geometry
# Energy (eV/atom): -5.772
# Calculated formation energy (eV/atom): -0.68
data_TbCeGePd
_cell_length_a 7.196
_cell_length_b 7.196
_cell_length_c 7.196
_cell_angle_alpha 90.00
_cell_angle_beta 90.00
_cell_angle_gamma 90.00
_space_group_name_H-M_alt 'F -4 3 m'
_space_group_IT_number 216
_space_group_name_Hall 'F -4 2 3'
loop_
_atom_site_label
_atom_site_type_symbol
_atom_site_fract_x
_atom_site_fract_y
_atom_site_fract_z
Tb1 Tb 0.000 0.000 0.000
Ce1 Ce 0.000 0.000 0.500
Ge1 Ge 0.250 0.250 0.250
Pd1 Pd 0.250 0.250 0.750

***

Record 7
# Sb2PbSe GGA-PBE optimized geometry
# Energy relative to the elements, uncorrected (eV/atom): 0.04
# Energy (eV/atom): -3.817
# ΔE to the lowest computed polymorph (meV/atom): 260.2
data_Sb2PbSe
_cell_length_a 3.665
_cell_length_b 5.535
_cell_length_c 10.647
_cell_angle_alpha 90.00
_cell_angle_beta 90.00
_cell_angle_gamma 90.00
_space_group_name_H-M_alt 'I m m m'
_space_group_IT_number 71
_space_group_name_Hall '-I 2 2'
loop_
_atom_site_label
_atom_site_type_symbol
_atom_site_fract_x
_atom_site_fract_y
_atom_site_fract_z
Sb1 Sb 0.000 0.000 0.225
Pb1 Pb 0.000 0.500 0.000
Se1 Se 0.000 0.500 0.500

***

Record 8
# KSrMg3 GGA-PBE optimized geometry
# Energy (eV/atom): -0.860
# Calculated formation energy (eV/atom): 0.65
# ΔE to the lowest computed polymorph (meV/atom): 32.5
data_KSrMg3
_cell_length_a 5.989
_cell_length_b 5.989
_cell_length_c 5.989
_cell_angle_alpha 90.00
_cell_angle_beta 90.00
_cell_angle_gamma 90.00
_space_group_name_H-M_alt 'P m -3 m'
_space_group_IT_number 221
_space_group_name_Hall '-P 4 2 3'
loop_
_atom_site_label
_atom_site_type_symbol
_atom_site_fract_x
_atom_site_fract_y
_atom_site_fract_z
K1 K 0.000 0.000 0.000
Sr1 Sr 0.500 0.500 0.500
Mg1 Mg 0.000 0.000 0.500

***

Record 9
# LiTaBe GGA-PBE optimized geometry
# Energy (eV/atom): -5.614
# Calculated formation energy (eV/atom): 0.22
# ΔE to the lowest computed polymorph (meV/atom): 88.0
data_LiTaBe
_cell_length_a 3.2660
_cell_length_b 3.2660
_cell_length_c 10.3265
_cell_angle_alpha 90.00
_cell_angle_beta 90.00
_cell_angle_gamma 120.00
_space_group_name_H-M_alt 'P -3 m 1'
_space_group_IT_number 164
_space_group_name_Hall '-P 3 2"'
loop_
_atom_site_label
_atom_site_type_symbol
_atom_site_fract_x
_atom_site_fract_y
_atom_site_fract_z
Li1 Li 0.3333 0.6667 0.3860
Ta1 Ta 0.0000 0.0000 0.1574
Be1 Be 0.3333 0.6667 0.9994

***

Record 10
# Ti4ZnPd2 GGA-PBE optimized geometry
# Energy (eV/atom): -6.535
# Calculated formation energy (eV/atom): -0.36
data_Ti4ZnPd2
_cell_length_a 4.4356
_cell_length_b 4.4356
_cell_length_c 19.4352
_cell_angle_alpha 90.00
_cell_angle_beta 90.00
_cell_angle_gamma 120.00
_space_group_name_H-M_alt 'R -3 m'
_space_group_IT_number 166
_space_group_name_Hall '-R 3 2"'
loop_
_atom_site_label
_atom_site_type_symbol
_atom_site_fract_x
_atom_site_fract_y
_atom_site_fract_z
Ti1 Ti 0.0000 0.0000 0.0731
Ti2 Ti 0.0000 0.0000 0.3550
Zn1 Zn 0.0000 0.0000 0.5000
Pd1 Pd 0.0000 0.0000 0.2166

***

Record 11
# Ca2HgC GGA-PBE optimized geometry
# Energy (eV/atom): -3.060
# Calculated formation energy (eV/atom): 0.32
data_Ca2HgC
_cell_length_a 7.492
_cell_length_b 7.492
_cell_length_c 7.419
_cell_angle_alpha 90.00
_cell_angle_beta 90.00
_cell_angle_gamma 90.00
_space_group_name_H-M_alt 'I -4 2 d'
_space_group_IT_number 122
_space_group_name_Hall 'I -4 2bw'
loop_
_atom_site_label
_atom_site_type_symbol
_atom_site_fract_x
_atom_site_fract_y
_atom_site_fract_z
Ca1 Ca 0.156 0.250 0.125
Hg1 Hg 0.000 0.000 0.500
C1 C 0.000 0.000 0.000

***

Record 12
# SrSiHg2 GGA-PBE optimized geometry
# Energy relative to the elements, uncorrected (eV/atom): -0.03
# Energy (eV/atom): -1.959
data_SrSiHg2
_cell_length_a 4.890
_cell_length_b 4.890
_cell_length_c 19.575
_cell_angle_alpha 90.00
_cell_angle_beta 90.00
_cell_angle_gamma 90.00
_space_group_name_H-M_alt 'I -4 2 d'
_space_group_IT_number 122
_space_group_name_Hall 'I -4 2bw'
loop_
_atom_site_label
_atom_site_type_symbol
_atom_site_fract_x
_atom_site_fract_y
_atom_site_fract_z
Sr1 Sr 0.000 0.000 0.000
Si1 Si 0.000 0.000 0.500
Hg1 Hg 0.164 0.250 0.625

***

Record 13
# Cs3ZrPb2S6 GGA-PBE optimized geometry
# Energy relative to the elements, uncorrected (eV/atom): -1.02
# Energy (eV/atom): -4.630
data_Cs3ZrPb2S6
_cell_length_a 7.258
_cell_length_b 12.553
_cell_length_c 8.321
_cell_angle_alpha 90.00
_cell_angle_beta 106.78
_cell_angle_gamma 90.00
_space_group_name_H-M_alt 'C 1 2/m 1'
_space_group_IT_number 12
loop_
_space_group_symop_operation_xyz
'x,y,z'
'-x,-y,-z'
'-x,y,-z'
'x,-y,z'
'x+1/2,y+1/2,z'
'-x+1/2,-y+1/2,-z'
'-x+1/2,y+1/2,-z'
'x+1/2,-y+1/2,z'
loop_
_atom_site_label
_atom_site_type_symbol
_atom_site_fract_x
_atom_site_fract_y
_atom_site_fract_z
Cs1 Cs 0.000 0.000 0.000
Cs2 Cs 0.000 0.326 0.000
Zr1 Zr 0.000 0.500 0.500
Pb1 Pb 0.000 0.166 0.500
S1 S 0.211 0.350 0.683
S2 S 0.237 0.500 0.313

***

Record 14
# Pr3Ga8Ru3 GGA-PBE optimized geometry
# Energy (eV/atom): -5.262
# Calculated formation energy (eV/atom): -0.52
data_Pr3Ga8Ru3
_cell_length_a 4.301
_cell_length_b 9.912
_cell_length_c 12.744
_cell_angle_alpha 90.00
_cell_angle_beta 90.00
_cell_angle_gamma 90.00
_space_group_name_H-M_alt 'I m m m'
_space_group_IT_number 71
_space_group_name_Hall '-I 2 2'
loop_
_atom_site_label
_atom_site_type_symbol
_atom_site_fract_x
_atom_site_fract_y
_atom_site_fract_z
Pr1 Pr 0.000 0.000 0.000
Pr2 Pr 0.000 0.000 0.329
Ga1 Ga 0.000 0.286 0.117
Ga2 Ga 0.000 0.362 0.331
Ru1 Ru 0.000 0.227 0.500
Ru2 Ru 0.000 0.500 0.000

***

Record 15
# La12NdPb4N3 GGA-PBE optimized geometry
# Energy relative to the elements, uncorrected (eV/atom): -0.60
# Energy (eV/atom): -5.784
data_La12NdPb4N3
_cell_length_a 10.465
_cell_length_b 10.465
_cell_length_c 10.465
_cell_angle_alpha 90.00
_cell_angle_beta 90.00
_cell_angle_gamma 90.00
_space_group_name_H-M_alt 'I m -3 m'
_space_group_IT_number 229
_space_group_name_Hall '-I 4 2 3'
loop_
_atom_site_label
_atom_site_type_symbol
_atom_site_fract_x
_atom_site_fract_y
_atom_site_fract_z
La1 La 0.000 0.000 0.274
La2 La 0.000 0.250 0.500
Nd1 Nd 0.000 0.000 0.000
Pb1 Pb 0.250 0.250 0.250
N1 N 0.000 0.000 0.500

***

Record 16
# La4Hg5Pd2 GGA-PBE optimized geometry
# Energy (eV/atom): -3.473
# Calculated formation energy (eV/atom): -0.60
data_La4Hg5Pd2
_cell_length_a 7.926
_cell_length_b 3.873
_cell_length_c 9.767
_cell_angle_alpha 90.00
_cell_angle_beta 94.01
_cell_angle_gamma 90.00
_space_group_name_H-M_alt 'P 1 2/m 1'
_space_group_IT_number 10
loop_
_space_group_symop_operation_xyz
'x,y,z'
'-x,-y,-z'
'-x,y,-z'
'x,-y,z'
loop_
_atom_site_label
_atom_site_type_symbol
_atom_site_fract_x
_atom_site_fract_y
_atom_site_fract_z
La1 La 0.184 0.000 0.357
La2 La 0.237 0.000 0.932
Hg1 Hg 0.166 0.500 0.643
Hg2 Hg 0.448 0.500 0.175
Hg3 Hg 0.500 0.500 0.500
Pd1 Pd 0.073 0.500 0.135

***

Record 17
# AcErPdPt GGA-PBE optimized geometry
# Energy (eV/atom): -5.954
# Calculated formation energy (eV/atom): -0.98
# ΔE to the lowest computed polymorph (meV/atom): 0.0
data_AcErPdPt
_cell_length_a 4.7379
_cell_length_b 4.7379
_cell_length_c 15.7391
_cell_angle_alpha 90.00
_cell_angle_beta 90.00
_cell_angle_gamma 120.00
_space_group_name_H-M_alt 'R 3 m'
_space_group_IT_number 160
_space_group_name_Hall 'R 3 -2"'
loop_
_atom_site_label
_atom_site_type_symbol
_atom_site_fract_x
_atom_site_fract_y
_atom_site_fract_z
Ac1 Ac 0.0000 0.0000 0.0000
Er1 Er 0.0000 0.0000 0.4974
Pd1 Pd 0.0000 0.0000 0.2178
Pt1 Pt 0.0000 0.0000 0.7807

***

Record 18
# CoNi8Pt2 GGA-PBE optimized geometry
# Energy (eV/atom): -5.765
# Calculated formation energy (eV/atom): 0.18
# ΔE to the lowest computed polymorph (meV/atom): 0.0
data_CoNi8Pt2
_cell_length_a 7.424
_cell_length_b 9.930
_cell_length_c 3.848
_cell_angle_alpha 90.00
_cell_angle_beta 90.00
_cell_angle_gamma 90.00
_space_group_name_H-M_alt 'C m m m'
_space_group_IT_number 65
_space_group_name_Hall '-C 2 2'
loop_
_atom_site_label
_atom_site_type_symbol
_atom_site_fract_x
_atom_site_fract_y
_atom_site_fract_z
Co1 Co 0.000 0.000 0.000
Ni1 Ni 0.000 0.228 0.000
Ni2 Ni 0.161 0.126 0.500
Ni3 Ni 0.174 0.500 0.000
Pt1 Pt 0.000 0.369 0.500

***

Record 19
# LaB2C2 GGA-PBE optimized geometry
# Energy (eV/atom): -6.182
# Calculated formation energy (eV/atom): 1.16
data_LaB2C2
_cell_length_a 6.440
_cell_length_b 6.440
_cell_length_c 2.763
_cell_angle_alpha 90.00
_cell_angle_beta 90.00
_cell_angle_gamma 90.00
_space_group_name_H-M_alt 'P 4/m b m'
_space_group_IT_number 127
_space_group_name_Hall '-P 4 2ab'
loop_
_atom_site_label
_atom_site_type_symbol
_atom_site_fract_x
_atom_site_fract_y
_atom_site_fract_z
La1 La 0.000 0.000 0.000
B1 B 0.103 0.397 0.500
C1 C 0.087 0.587 0.000

***

Record 20
# AcAs2RuO8 GGA-PBE optimized geometry
# Energy relative to the elements, uncorrected (eV/atom): -1.55
# Energy (eV/atom): -6.748
data_AcAs2RuO8
_cell_length_a 5.4933
_cell_length_b 5.4933
_cell_length_c 7.1382
_cell_angle_alpha 90.00
_cell_angle_beta 90.00
_cell_angle_gamma 120.00
_space_group_name_H-M_alt 'P -3 m 1'
_space_group_IT_number 164
_space_group_name_Hall '-P 3 2"'
loop_
_atom_site_label
_atom_site_type_symbol
_atom_site_fract_x
_atom_site_fract_y
_atom_site_fract_z
Ac1 Ac 0.0000 0.0000 0.0000
As1 As 0.3333 0.6667 0.2467
Ru1 Ru 0.0000 0.0000 0.5000
O1 O 0.1574 0.3149 0.3057
O2 O 0.3333 0.6667 0.0082